TaTeSe2 | GGA-PBE | optimized geometry

abc: 5.0865 5.3553 3.7991
angles: 74.94 78.47 113.83
With the nearest neighbours (Å) after each atom.
Element x y z (fractional)
Se 0.0000 0.0000 0.0000  2 Te 2.85, 2 Ta 2.85, 2 Se 2.85
Se 0.5000 0.0000 0.5000  2 Ta 2.85, 2 Te 2.85, 2 Se 2.85
Ta 0.0000 0.5000 0.5000  4 Se 2.85, 2 Te 2.85
Te 0.5000 0.5000 0.0000  4 Se 2.85, 2 Ta 2.85

Summary:
**SG**: C2/m
**Uncorrected energy**: -20.38 eV per cell